# 1
DFT (PBE-GGA) results for a geometry-optimized VPb2Cl8 structure.

Computed properties:
For the final energy, the calculation gives -3.947 eV/atom. As for the formation energy from raw total energies: -1101 meV/atom.

Lattice parameters (Å, degrees): 7.4882 7.4882 6.1888 100.29 100.29 75.34
Element x y z (fractional)
V: 0.0000 0.0000 0.0000
Pb: 0.3442 0.3442 0.0963
Pb: 0.6558 0.6558 0.9037
Cl: 0.0587 0.7069 0.1309
Cl: 0.1239 0.1239 0.3305
Cl: 0.2931 0.9413 0.8691
Cl: 0.4135 0.4135 0.7090
Cl: 0.5865 0.5865 0.2910
Cl: 0.7069 0.0587 0.1309
Cl: 0.8761 0.8761 0.6695
Cl: 0.9413 0.2931 0.8691

***

# 2
DFT (PBE-GGA) results for a geometry-optimized PuThGePd structure.

Computed properties:
The formation energy comes out at -0.486 eV/atom. For the final energy, the calculation gives -8.376 eV/atom.

Lattice parameters (Å, degrees): 7.2289 7.2289 7.2289 90.00 90.00 90.00
Element x y z (fractional)
Pu: 0.0000 0.0000 0.0000
Pu: 0.0000 0.5000 0.5000
Pu: 0.5000 0.0000 0.5000
Pu: 0.5000 0.5000 0.0000
Th: 0.0000 0.0000 0.5000
Th: 0.0000 0.5000 0.0000
Th: 0.5000 0.0000 0.0000
Th: 0.5000 0.5000 0.5000
Ge: 0.2500 0.2500 0.7500
Ge: 0.2500 0.7500 0.2500
Ge: 0.7500 0.2500 0.2500
Ge: 0.7500 0.7500 0.7500
Pd: 0.2500 0.2500 0.2500
Pd: 0.2500 0.7500 0.7500
Pd: 0.7500 0.2500 0.7500
Pd: 0.7500 0.7500 0.2500

***

# 3
DFT (PBE-GGA) results for a geometry-optimized Ac2Al5Pd structure.

Computed properties:
The formation energy comes out at -0.486 eV/atom. For the final energy, the calculation gives -4.502 eV/atom.

Lattice parameters (Å, degrees): 9.0096 9.0096 9.4060 90.00 90.00 150.64
Element x y z (fractional)
Ac: 0.0000 0.0000 0.0000
Ac: 0.0000 0.0000 0.5000
Ac: 0.2005 0.7995 0.7500
Ac: 0.7995 0.2005 0.2500
Al: 0.1858 0.8142 0.1086
Al: 0.1858 0.8142 0.3914
Al: 0.3548 0.6452 0.0217
Al: 0.3548 0.6452 0.4783
Al: 0.4105 0.5895 0.7500
Al: 0.5895 0.4105 0.2500
Al: 0.6452 0.3548 0.5217
Al: 0.6452 0.3548 0.9783
Al: 0.8142 0.1858 0.6086
Al: 0.8142 0.1858 0.8914
Pd: 0.4409 0.5591 0.2500
Pd: 0.5591 0.4409 0.7500

***

Copy entry 1 word for word.
DFT (PBE-GGA) results for a geometry-optimized VPb2Cl8 structure.

Computed properties:
For the final energy, the calculation gives -3.947 eV/atom. As for the formation energy from raw total energies: -1101 meV/atom.

Lattice parameters (Å, degrees): 7.4882 7.4882 6.1888 100.29 100.29 75.34
Element x y z (fractional)
V: 0.0000 0.0000 0.0000
Pb: 0.3442 0.3442 0.0963
Pb: 0.6558 0.6558 0.9037
Cl: 0.0587 0.7069 0.1309
Cl: 0.1239 0.1239 0.3305
Cl: 0.2931 0.9413 0.8691
Cl: 0.4135 0.4135 0.7090
Cl: 0.5865 0.5865 0.2910
Cl: 0.7069 0.0587 0.1309
Cl: 0.8761 0.8761 0.6695
Cl: 0.9413 0.2931 0.8691